[1]
Density functional theory data (GGA-PBEsol) for a relaxed structure of K3SbPd.

Computed properties:
The calculation puts the total magnetic moment at 1.852 μB/f.u. For the uncorrected formation energy, the calculation gives 0.2811 eV/atom.

abc: 5.841 5.841 5.841
angles: 90.00 90.00 90.00
Last column: magnetic moment on the atom in μB.
Fractional positions:
1 Sb 0.500 0.500 0.500  0.46
2 K 0.000 0.500 0.000  0.02
3 K 0.000 0.000 0.500  0.02
4 K 0.500 0.000 0.000  0.02
5 Pd 0.000 0.000 0.000  0.22

---

[2]
Density functional theory data (GGA-PBEsol) for a relaxed structure of KSbPd2.

Computed properties:
The calculation puts the total magnetic moment at 0.000 μB/f.u. For the uncorrected formation energy, the calculation gives 0.0799 eV/atom.

abc: 6.405 6.405 6.405
angles: 105.58 105.58 117.58
Fractional positions:
1 Sb 0.000 0.000 0.000
2 Sb 0.250 0.750 0.500
3 K 0.500 0.500 0.000
4 K 0.750 0.250 0.500
5 Pd 0.625 0.693 0.568
6 Pd 0.125 0.057 0.432
7 Pd 0.943 0.375 0.068
8 Pd 0.307 0.875 0.932

---

[3]
Density functional theory data (GGA-PBEsol) for a relaxed structure of KSb3Pd.

Computed properties:
The calculation puts the total magnetic moment at 0.000 μB/f.u. For the uncorrected formation energy, the calculation gives 0.0471 eV/atom.

abc: 5.295 5.295 5.295
angles: 90.00 90.00 90.00
Fractional positions:
1 Sb 0.000 0.500 0.000
2 Sb 0.000 0.000 0.500
3 Sb 0.500 0.000 0.000
4 K 0.500 0.500 0.500
5 Pd 0.000 0.000 0.000